Compound: La2GaAgRh
Source: Alexandria via LeMat-Bulk
Functional: PBE
Structure: optimized geometry

Total moment in μB/cell: 0.0
Density in Mg/m³: 7.462
Electronic total energy in eV per atom: -5.183
N(E_F) in states/eV per cell: 7.88
ΔH_f (0 K) in kJ/mol of atoms: -54.7

Cell lengths 4.5074, 7.5058, 7.7909 Å; angles 109.49, 90.00, 90.00 degrees
Fractional positions:
La 0.7500 0.8648 0.6468
La 0.7500 0.7215 0.0481
La 0.2500 0.1352 0.3532
La 0.2500 0.2785 0.9519
Ga 0.2500 0.5465 0.6738
Ga 0.7500 0.4535 0.3262
Ag 0.2500 0.6602 0.3434
Ag 0.7500 0.3398 0.6566
Rh 0.2500 0.8757 0.9014
Rh 0.7500 0.1243 0.0986